[1]
VASP calculation (PBE) on crystalline Er2TlPt at its relaxed geometry.

a b c (Å): 3.941 3.941 24.265
angles (deg): 90.00 90.00 120.00
Fractional positions:
Er (0.000, 0.000, 0.233)
Er (0.000, 0.000, 0.767)
Er (0.333, 0.667, 0.433)
Er (0.333, 0.667, 0.900)
Er (0.667, 0.333, 0.100)
Er (0.667, 0.333, 0.567)
Tl (0.000, 0.000, 0.000)
Tl (0.333, 0.667, 0.667)
Tl (0.667, 0.333, 0.333)
Pt (0.000, 0.000, 0.500)
Pt (0.333, 0.667, 0.167)
Pt (0.667, 0.333, 0.833)

Fermi-level density of states, states/eV/cell: 10.4
Polymorph energy (0 for the lowest one), meV/atom: 78
Total magnetization, Bohr magnetons per cell: 0.00
Calculated formation energy, kJ per mole of atoms: -70.5
Space-group type: No. 166
V, Å³/cell: 326


[2]
VASP calculation (PBE) on crystalline Er2TlPt at its relaxed geometry.

a b c (Å): 7.223 7.223 7.223
angles (deg): 90.00 90.00 90.00
Fractional positions:
Er (0.250, 0.250, 0.250)
Er (0.250, 0.250, 0.750)
Er (0.250, 0.750, 0.250)
Er (0.250, 0.750, 0.750)
Er (0.750, 0.250, 0.250)
Er (0.750, 0.250, 0.750)
Er (0.750, 0.750, 0.250)
Er (0.750, 0.750, 0.750)
Tl (0.000, 0.000, 0.000)
Tl (0.000, 0.500, 0.500)
Tl (0.500, 0.000, 0.500)
Tl (0.500, 0.500, 0.000)
Pt (0.000, 0.000, 0.500)
Pt (0.000, 0.500, 0.000)
Pt (0.500, 0.000, 0.000)
Pt (0.500, 0.500, 0.500)

Fermi-level density of states, states/eV/cell: 14.3
Polymorph energy (0 for the lowest one), meV/atom: 96
Total magnetization, Bohr magnetons per cell: 0.00
Calculated formation energy, kJ per mole of atoms: -68.7
Space-group type: No. 225
V, Å³/cell: 377


[3]
VASP calculation (PBE) on crystalline Er5TlPt4 at its relaxed geometry.

a b c (Å): 3.509 3.509 17.856
angles (deg): 90.00 90.00 90.00
Fractional positions:
Er (0.000, 0.000, 0.000)
Er (0.000, 0.000, 0.191)
Er (0.000, 0.000, 0.379)
Er (0.000, 0.000, 0.621)
Er (0.000, 0.000, 0.809)
Tl (0.500, 0.500, 0.500)
Pt (0.500, 0.500, 0.096)
Pt (0.500, 0.500, 0.289)
Pt (0.500, 0.500, 0.711)
Pt (0.500, 0.500, 0.904)

Fermi-level density of states, states/eV/cell: 5.5
Total magnetization, Bohr magnetons per cell: 0.00
Calculated formation energy, kJ per mole of atoms: -104.1
Space-group type: No. 123
V, Å³/cell: 220


[4]
VASP calculation (PBE) on crystalline ErTmTlPt at its relaxed geometry.

a b c (Å): 7.208 7.208 7.208
angles (deg): 90.00 90.00 90.00
Fractional positions:
Er (0.000, 0.000, 0.000)
Er (0.000, 0.500, 0.500)
Er (0.500, 0.000, 0.500)
Er (0.500, 0.500, 0.000)
Tm (0.000, 0.000, 0.500)
Tm (0.000, 0.500, 0.000)
Tm (0.500, 0.000, 0.000)
Tm (0.500, 0.500, 0.500)
Tl (0.250, 0.250, 0.250)
Tl (0.250, 0.750, 0.750)
Tl (0.750, 0.250, 0.750)
Tl (0.750, 0.750, 0.250)
Pt (0.250, 0.250, 0.750)
Pt (0.250, 0.750, 0.250)
Pt (0.750, 0.250, 0.250)
Pt (0.750, 0.750, 0.750)

Fermi-level density of states, states/eV/cell: 13.9
Total magnetization, Bohr magnetons per cell: 0.00
Calculated formation energy, kJ per mole of atoms: -69.0
Space-group type: No. 216
V, Å³/cell: 374


[5]
VASP calculation (PBE) on crystalline YErTlPt at its relaxed geometry.

a b c (Å): 7.259 7.259 7.259
angles (deg): 90.00 90.00 90.00
Fractional positions:
Y (0.000, 0.000, 0.000)
Y (0.000, 0.500, 0.500)
Y (0.500, 0.000, 0.500)
Y (0.500, 0.500, 0.000)
Er (0.000, 0.000, 0.500)
Er (0.000, 0.500, 0.000)
Er (0.500, 0.000, 0.000)
Er (0.500, 0.500, 0.500)
Tl (0.250, 0.250, 0.250)
Tl (0.250, 0.750, 0.750)
Tl (0.750, 0.250, 0.750)
Tl (0.750, 0.750, 0.250)
Pt (0.250, 0.250, 0.750)
Pt (0.250, 0.750, 0.250)
Pt (0.750, 0.250, 0.250)
Pt (0.750, 0.750, 0.750)

Fermi-level density of states, states/eV/cell: 14.9
Total magnetization, Bohr magnetons per cell: 0.01
Calculated formation energy, kJ per mole of atoms: -68.2
Space-group type: No. 216
V, Å³/cell: 383


[6]
VASP calculation (PBE) on crystalline Er3Tm5Pt12 at its relaxed geometry.

a b c (Å): 13.882 13.882 13.882
angles (deg): 109.47 109.47 109.47
Fractional positions:
Er (0.125, 0.250, 0.375)
Er (0.125, 0.375, 0.750)
Er (0.250, 0.375, 0.125)
Er (0.250, 0.875, 0.625)
Er (0.375, 0.125, 0.250)
Er (0.375, 0.750, 0.125)
Er (0.625, 0.250, 0.875)
Er (0.625, 0.875, 0.750)
Er (0.750, 0.125, 0.375)
Er (0.750, 0.625, 0.875)
Er (0.875, 0.625, 0.250)
Er (0.875, 0.750, 0.625)
Tm (0.000, 0.000, 0.000)
Tm (0.000, 0.000, 0.500)
Tm (0.000, 0.500, 0.000)
Tm (0.000, 0.500, 0.500)
Tm (0.125, 0.750, 0.875)
Tm (0.125, 0.875, 0.250)
Tm (0.250, 0.125, 0.875)
Tm (0.250, 0.625, 0.375)
Tm (0.375, 0.250, 0.625)
Tm (0.375, 0.625, 0.750)
Tm (0.500, 0.000, 0.000)
Tm (0.500, 0.000, 0.500)
Tm (0.500, 0.500, 0.000)
Tm (0.500, 0.500, 0.500)
Tm (0.625, 0.375, 0.250)
Tm (0.625, 0.750, 0.375)
Tm (0.750, 0.375, 0.625)
Tm (0.750, 0.875, 0.125)
Tm (0.875, 0.125, 0.750)
Tm (0.875, 0.250, 0.125)
Pt (0.070, 0.230, 0.148)
Pt (0.070, 0.340, 0.922)
Pt (0.078, 0.648, 0.418)
Pt (0.078, 0.930, 0.660)
Pt (0.082, 0.730, 0.660)
Pt (0.082, 0.852, 0.422)
Pt (0.148, 0.070, 0.230)
Pt (0.148, 0.578, 0.918)
Pt (0.160, 0.230, 0.582)
Pt (0.160, 0.430, 0.578)
Pt (0.230, 0.148, 0.070)
Pt (0.230, 0.582, 0.160)
Pt (0.270, 0.340, 0.918)
Pt (0.270, 0.430, 0.352)
Pt (0.340, 0.918, 0.270)
Pt (0.340, 0.922, 0.070)
Pt (0.352, 0.270, 0.430)
Pt (0.352, 0.582, 0.922)
Pt (0.418, 0.078, 0.648)
Pt (0.418, 0.840, 0.770)
Pt (0.422, 0.082, 0.852)
Pt (0.422, 0.840, 0.570)
Pt (0.430, 0.352, 0.270)
Pt (0.430, 0.578, 0.160)
Pt (0.570, 0.422, 0.840)
Pt (0.570, 0.648, 0.730)
Pt (0.578, 0.160, 0.430)
Pt (0.578, 0.918, 0.148)
Pt (0.582, 0.160, 0.230)
Pt (0.582, 0.922, 0.352)
Pt (0.648, 0.418, 0.078)
Pt (0.648, 0.730, 0.570)
Pt (0.660, 0.078, 0.930)
Pt (0.660, 0.082, 0.730)
Pt (0.730, 0.570, 0.648)
Pt (0.730, 0.660, 0.082)
Pt (0.770, 0.418, 0.840)
Pt (0.770, 0.852, 0.930)
Pt (0.840, 0.570, 0.422)
Pt (0.840, 0.770, 0.418)
Pt (0.852, 0.422, 0.082)
Pt (0.852, 0.930, 0.770)
Pt (0.918, 0.148, 0.578)
Pt (0.918, 0.270, 0.340)
Pt (0.922, 0.070, 0.340)
Pt (0.922, 0.352, 0.582)
Pt (0.930, 0.660, 0.078)
Pt (0.930, 0.770, 0.852)

Fermi-level density of states, states/eV/cell: 35.8
Total magnetization, Bohr magnetons per cell: 0.00
Calculated formation energy, kJ per mole of atoms: -61.7
Space-group type: No. 230
V, Å³/cell: 2060


[7]
VASP calculation (PBE) on crystalline ErTm3Pt at its relaxed geometry.

a b c (Å): 5.181 8.424 6.331
angles (deg): 90.00 93.53 90.00
Fractional positions:
Er (0.249, 0.250, 0.405)
Er (0.751, 0.750, 0.595)
Tm (0.221, 0.750, 0.275)
Tm (0.270, 0.546, 0.793)
Tm (0.270, 0.954, 0.793)
Tm (0.730, 0.046, 0.207)
Tm (0.730, 0.454, 0.207)
Tm (0.779, 0.250, 0.725)
Pt (0.328, 0.250, 0.966)
Pt (0.672, 0.750, 0.034)

Fermi-level density of states, states/eV/cell: 12.3
Total magnetization, Bohr magnetons per cell: 0.00
Calculated formation energy, kJ per mole of atoms: -47.0
Space-group type: No. 11
V, Å³/cell: 276


[8]
VASP calculation (PBE) on crystalline Er3TmPt4 at its relaxed geometry.

a b c (Å): 3.747 6.577 15.110
angles (deg): 90.00 90.00 90.00
Fractional positions:
Er (0.000, 0.000, 0.000)
Er (0.000, 0.500, 0.200)
Er (0.000, 0.500, 0.800)
Er (0.500, 0.000, 0.300)
Er (0.500, 0.000, 0.700)
Er (0.500, 0.500, 0.500)
Tm (0.000, 0.000, 0.500)
Tm (0.500, 0.500, 0.000)
Pt (0.000, 0.293, 0.372)
Pt (0.000, 0.293, 0.628)
Pt (0.000, 0.707, 0.372)
Pt (0.000, 0.707, 0.628)
Pt (0.500, 0.207, 0.128)
Pt (0.500, 0.207, 0.872)
Pt (0.500, 0.793, 0.128)
Pt (0.500, 0.793, 0.872)

Fermi-level density of states, states/eV/cell: 9.3
Total magnetization, Bohr magnetons per cell: 0.00
Calculated formation energy, kJ per mole of atoms: -104.2
Space-group type: No. 71
V, Å³/cell: 372